Computed, not measured: a relaxed structure of LiScAs2 at the PBE level of DFT.

## Properties
- DOS(E_F): 0.45 states/eV per atom
- Spin magnetization: 0.0 μB/f.u.
- ΔE_f: -0.650 eV/atom

Lattice parameters (Å, degrees): 3.7968 3.7968 5.4521 90.00 90.00 90.00
Fractional coordinates of all 4 atoms:
Li 0.0000 0.0000 0.0000
Sc 0.5000 0.5000 0.4138
As 0.0000 0.0000 0.4957
As 0.5000 0.5000 0.9160